Record 1
# Mg3VI (GGA-PBE, optimized geometry)
# Energy relative to the lowest polymorph listed for this composition, eV/f.u.: 0.000
data_Mg3VI
_chemical_formula_sum 'Mg3 V1 I1'
_space_group_name_H-M_alt 'P m -3 m'
_space_group_IT_number 221
_space_group_name_Hall '-P 4 2 3'
_cell_length_a 5.493
_cell_length_b 5.493
_cell_length_c 5.493
_cell_angle_alpha 90.00
_cell_angle_beta 90.00
_cell_angle_gamma 90.00
loop_
_atom_site_label
_atom_site_fract_x
_atom_site_fract_y
_atom_site_fract_z
Mg1 0.000 0.000 0.500
V1 0.000 0.000 0.000
I1 0.500 0.500 0.500

***

Record 2
# Sb2TeCS (GGA-PBE, optimized geometry)
# Energy relative to the lowest polymorph listed for this composition, eV/f.u.: 0.000
data_Sb2TeCS
_chemical_formula_sum 'Sb2 Te1 C1 S1'
_space_group_name_H-M_alt 'P 4/m m m'
_space_group_IT_number 123
_space_group_name_Hall '-P 4 2'
_cell_length_a 4.935
_cell_length_b 4.935
_cell_length_c 4.538
_cell_angle_alpha 90.00
_cell_angle_beta 90.00
_cell_angle_gamma 90.00
loop_
_atom_site_label
_atom_site_fract_x
_atom_site_fract_y
_atom_site_fract_z
Sb1 0.000 0.500 0.000
Te1 0.000 0.000 0.500
C1 0.000 0.000 0.000
S1 0.500 0.500 0.500

***

no.,formation energy from raw total energies (eV/atom),volume (Å³/atom),M_tot (μB/cell)
1,0.689,33.15,4.24
2,1.098,22.11,0.00